[1]
A relaxed structure of GdBeO3, computed with PBE-GGA.

Results
Uncorrected energy = -7.14 eV per atom

Geometry as POSCAR:
```
GdBeO3
1.0
5.080 0.000 0.000
0.000 7.111 0.000
0.000 0.000 5.025
Gd Be O
4 4 12
Direct
0.001 0.250 0.001 Gd
0.499 0.750 0.501 Gd
0.501 0.250 0.499 Gd
0.999 0.750 0.999 Gd
0.000 0.000 0.500 Be
0.000 0.500 0.500 Be
0.500 0.000 0.000 Be
0.500 0.500 0.000 Be
0.000 0.250 0.520 O
0.000 0.750 0.480 O
0.249 0.510 0.751 O
0.249 0.990 0.751 O
0.251 0.010 0.251 O
0.251 0.490 0.251 O
0.500 0.250 0.980 O
0.500 0.750 0.020 O
0.749 0.510 0.749 O
0.749 0.990 0.749 O
0.751 0.010 0.249 O
0.751 0.490 0.249 O
```

[2]
A relaxed structure of LiCdRe2, computed with PBE-GGA.

Results
Uncorrected energy = -6.53 eV per atom

Geometry as POSCAR:
```
LiCdRe2
1.0
0.000 3.110 3.110
3.110 0.000 3.110
3.110 3.110 0.000
Li Cd Re
1 1 2
Direct
0.000 0.000 0.000 Li
0.250 0.250 0.250 Cd
0.500 0.500 0.500 Re
0.750 0.750 0.750 Re
```

[3]
A relaxed structure of NaHg, computed with PBE-GGA.

Results
Uncorrected energy = -0.92 eV per atom

Geometry as POSCAR:
```
NaHg
1.0
0.000 3.100 3.100
3.100 0.000 3.100
3.100 3.100 0.000
Na Hg
1 1
Direct
0.000 0.000 0.000 Na
0.500 0.500 0.500 Hg
```

[4]
A relaxed structure of Dy3S3N, computed with PBE-GGA.

Results
Uncorrected energy = -6.92 eV per atom

Geometry as POSCAR:
```
Dy3S3N
1.0
11.929 0.000 0.000
0.000 3.826 0.000
0.000 0.000 12.883
Dy S N
12 12 4
Direct
0.047 0.250 0.142 Dy
0.067 0.250 0.632 Dy
0.212 0.250 0.860 Dy
0.288 0.750 0.360 Dy
0.433 0.750 0.132 Dy
0.453 0.750 0.642 Dy
0.547 0.250 0.358 Dy
0.567 0.250 0.868 Dy
0.712 0.250 0.640 Dy
0.788 0.750 0.140 Dy
0.933 0.750 0.368 Dy
0.953 0.750 0.858 Dy
0.093 0.250 0.400 S
0.134 0.750 0.991 S
0.225 0.750 0.692 S
0.275 0.250 0.192 S
0.366 0.250 0.491 S
0.407 0.750 0.900 S
0.593 0.250 0.100 S
0.634 0.750 0.509 S
0.725 0.750 0.808 S
0.775 0.250 0.308 S
0.866 0.250 0.009 S
0.907 0.750 0.600 S
0.035 0.250 0.799 N
0.465 0.750 0.299 N
0.535 0.250 0.701 N
0.965 0.750 0.201 N
```

[5]
A relaxed structure of Pm4DyTe5, computed with PBE-GGA.

Results
Uncorrected energy = -5.31 eV per atom

Geometry as POSCAR:
```
Pm4DyTe5
1.0
-2.209 2.209 15.872
2.209 -2.209 15.872
2.209 2.209 -15.872
Pm Dy Te
4 1 5
Direct
0.104 0.104 0.000 Pm
0.307 0.307 0.000 Pm
0.693 0.693 0.000 Pm
0.896 0.896 0.000 Pm
0.500 0.500 0.000 Dy
0.000 0.000 0.000 Te
0.204 0.204 0.000 Te
0.405 0.405 0.000 Te
0.595 0.595 0.000 Te
0.796 0.796 0.000 Te
```

[6]
A relaxed structure of Sc2Ga4CoIr, computed with PBE-GGA.

Results
Uncorrected energy = -5.71 eV per atom

Geometry as POSCAR:
```
Sc2Ga4CoIr
1.0
6.618 0.000 0.000
0.000 2.062 4.806
0.000 -2.062 4.806
Sc Ga Co Ir
2 4 1 1
Direct
0.000 0.000 0.000 Sc
0.500 0.155 0.155 Sc
0.192 0.711 0.711 Ga
0.290 0.438 0.438 Ga
0.710 0.438 0.438 Ga
0.808 0.711 0.711 Ga
0.000 0.279 0.279 Co
0.500 0.869 0.869 Ir
```

[7]
A relaxed structure of PrY2Mg3AgAu2, computed with PBE-GGA.

Results
Uncorrected energy = -4.07 eV per atom

Geometry as POSCAR:
```
PrY2Mg3AgAu2
1.0
4.038 0.000 0.000
0.000 6.784 3.899
0.000 -6.784 3.899
Pr Y Mg Ag Au
1 2 3 1 2
Direct
0.000 0.000 0.000 Pr
0.000 0.171 0.585 Y
0.000 0.585 0.171 Y
0.500 0.340 0.340 Mg
0.500 0.581 0.833 Mg
0.500 0.833 0.581 Mg
0.000 0.582 0.582 Ag
0.500 0.259 0.917 Au
0.500 0.917 0.259 Au
```

[8]
A relaxed structure of Ag2GeOs, computed with PBE-GGA.

Results
Uncorrected energy = -4.86 eV per atom

Geometry as POSCAR:
```
Ag2GeOs
1.0
0.000 3.185 3.185
3.185 0.000 3.185
3.185 3.185 0.000
Ag Ge Os
2 1 1
Direct
0.000 0.000 0.000 Ag
0.250 0.250 0.250 Ag
0.500 0.500 0.500 Ge
0.750 0.750 0.750 Os
```

[9]
A relaxed structure of Dy3Y2HoCuTe2, computed with PBE-GGA.

Results
Uncorrected energy = -5.24 eV per atom

Geometry as POSCAR:
```
Dy3Y2HoCuTe2
1.0
3.937 0.000 0.000
0.000 7.298 4.203
0.000 -7.298 4.203
Dy Y Ho Cu Te
3 2 1 1 2
Direct
0.000 0.000 0.000 Dy
0.000 0.512 0.755 Dy
0.000 0.755 0.512 Dy
0.500 0.160 0.756 Y
0.500 0.756 0.160 Y
0.500 0.352 0.352 Ho
0.500 0.755 0.755 Cu
0.000 0.089 0.422 Te
0.000 0.422 0.089 Te
```

[10]
A relaxed structure of PW4AuN2, computed with PBE-GGA.

Results
Uncorrected energy = -9.48 eV per atom

Geometry as POSCAR:
```
PW4AuN2
1.0
2.899 0.000 0.000
-1.449 2.510 0.000
0.000 0.000 14.227
P W Au N
1 4 1 2
Direct
0.000 0.000 0.000 P
0.000 0.000 0.331 W
0.000 0.000 0.669 W
0.667 0.333 0.130 W
0.667 0.333 0.870 W
0.667 0.333 0.500 Au
0.333 0.667 0.233 N
0.333 0.667 0.767 N
```

[11]
A relaxed structure of CdGeMo4N2, computed with PBE-GGA.

Results
Uncorrected energy = -8.19 eV per atom

Geometry as POSCAR:
```
CdGeMo4N2
1.0
2.974 0.000 0.000
-1.487 2.576 0.000
0.000 0.000 14.185
Cd Ge Mo N
1 1 4 2
Direct
0.000 0.000 0.000 Cd
0.667 0.333 0.500 Ge
0.000 0.000 0.354 Mo
0.000 0.000 0.646 Mo
0.667 0.333 0.173 Mo
0.667 0.333 0.827 Mo
0.333 0.667 0.262 N
0.333 0.667 0.738 N
```

[12]
A relaxed structure of PmNbAg, computed with PBE-GGA.

Results
E_form = 115.2 kJ per mole of atoms
Uncorrected energy = -4.69 eV per atom
Offset from the most stable computed form = 239 meV per atom

Geometry as POSCAR:
```
PmNbAg
1.0
0.000 3.444 3.444
3.444 0.000 3.444
3.444 3.444 0.000
Pm Nb Ag
1 1 1
Direct
0.000 0.000 0.000 Pm
0.250 0.250 0.250 Nb
0.750 0.750 0.750 Ag
```